The following is a DFT calculation (PBE-GGA) of a geometry-optimized Nd2HoCd3Ir2Pt structure.

## Properties
Total magnetization in μB per cell: 0.01
Energy of formation in meV/atom: -634.5

Lattice parameters (Å, degrees): 4.023 7.558 7.558 119.82 90.00 90.00
Sites, in units of the cell vectors:
Nd  0.000  0.205  0.795
Nd  0.000  0.795  0.205
Ho  0.000  0.611  0.611
Cd  0.500  0.205  0.461
Cd  0.500  0.461  0.205
Cd  0.500  0.950  0.950
Ir  0.500  0.541  0.864
Ir  0.500  0.864  0.541
Pt  0.000  0.211  0.211